A relaxed TmReNO crystal. Source: OQMD, functional PBE.

Space-group type = Pca2_1 (29)
Polymorph energy (0 for the lowest one) = 0 meV per atom

Cell: 5.4247 8.1909 4.9402 Å, 90.00 90.00 90.00°
Fractional positions:
Tm (0.0119, 0.1549, 0.0000)
Tm (0.4881, 0.1549, 0.5000)
Tm (0.5119, 0.8451, 0.0000)
Tm (0.9881, 0.8451, 0.5000)
Re (0.1207, 0.5147, 0.1822)
Re (0.3793, 0.5147, 0.6822)
Re (0.6207, 0.4853, 0.1822)
Re (0.8793, 0.4853, 0.6822)
N (0.1060, 0.6578, 0.8513)
N (0.3940, 0.6578, 0.3513)
N (0.6060, 0.3422, 0.8513)
N (0.8940, 0.3422, 0.3513)
O (0.1406, 0.0673, 0.6248)
O (0.3594, 0.0673, 0.1248)
O (0.6406, 0.9327, 0.6248)
O (0.8594, 0.9327, 0.1248)



A relaxed TmReNO crystal. Source: OQMD, functional PBE.

Space-group type = Pmc2_1 (26)
Polymorph energy (0 for the lowest one) = 538 meV per atom

Cell: 3.2081 5.5665 6.2033 Å, 90.00 90.00 90.00°
Fractional positions:
Tm (0.0000, 0.1682, 0.0000)
Tm (0.0000, 0.8318, 0.5000)
Re (0.5000, 0.3259, 0.4511)
Re (0.5000, 0.6741, 0.9511)
N (0.5000, 0.4091, 0.1628)
N (0.5000, 0.5909, 0.6628)
O (0.0000, 0.1836, 0.6515)
O (0.0000, 0.8164, 0.1515)



A relaxed TmReNO crystal. Source: OQMD, functional PBE.

Space-group type = P4/nmm (129)
Polymorph energy (0 for the lowest one) = 213 meV per atom

Cell: 3.7704 3.7704 7.5845 Å, 90.00 90.00 90.00°
Fractional positions:
Tm (0.2500, 0.2500, 0.1428)
Tm (0.7500, 0.7500, 0.8572)
Re (0.2500, 0.7500, 0.5000)
Re (0.7500, 0.2500, 0.5000)
N (0.2500, 0.2500, 0.6330)
N (0.7500, 0.7500, 0.3670)
O (0.2500, 0.7500, 0.0000)
O (0.7500, 0.2500, 0.0000)



> The highest polymorph energy (0 for the lowest one) belongs to which entry?

number 2



> Which of these has the highest polymorph energy (0 for the lowest one)?

number 2



> The lowest polymorph energy (0 for the lowest one) belongs to which entry?

number 1



> What is the formula in the second record?

TmReNO